Entry 1:
{"formula": "NpFeNi", "functional": "GGA-PBE", "state": "relaxed", "delta_e_f_ev_per_atom": 0.105, "lattice_angstrom": [[-1.1791, 2.6700, 2.5460], [-1.6905, -2.7330, 2.1620], [4.1761, -0.7240, 4.6249]], "species": ["Ni", "Ni", "Np", "Np", "Fe", "Fe"], "fractional_positions": [[0.3497, 0.3497, 0.6994], [0.6503, 0.6503, 0.3006], [0.1608, 0.1608, 0.2996], [0.8392, 0.8392, 0.7004], [0.2459, 0.7541, 0.0000], [0.7541, 0.2459, 0.0000]]}

***

Entry 2:
{"formula": "NpFe2Ni10", "functional": "GGA-PBE", "state": "relaxed", "delta_e_f_ev_per_atom": -0.034, "lattice_angstrom": [[-3.6672, 1.3091, 2.6458], [-5.4612, -0.8359, -2.9677], [-2.1885, -4.7180, 3.4893]], "species": ["Ni", "Ni", "Ni", "Ni", "Ni", "Ni", "Ni", "Ni", "Ni", "Ni", "Np", "Fe", "Fe"], "fractional_positions": [[0.6466, 0.3528, 0.3540], [0.0000, 0.5000, 0.0000], [0.5000, 0.5000, 0.0000], [0.2819, 0.2183, 0.2179], [0.7181, 0.7817, 0.7821], [0.5002, 0.7817, 0.2179], [0.0006, 0.3528, 0.6460], [0.4998, 0.2183, 0.7821], [0.9994, 0.6472, 0.3540], [0.3534, 0.6472, 0.6460], [0.0000, 0.0000, 0.0000], [0.5000, 0.0000, 0.5000], [0.0000, 0.0000, 0.5000]]}

***

Entry 3:
{"formula": "NpFeNi2", "functional": "GGA-PBE", "state": "relaxed", "relative_energy_mev_per_atom": 0, "delta_e_f_ev_per_atom": -0.042, "lattice_angstrom": [[4.0010, 0.0000, 0.0000], [0.0000, 3.6912, 0.0000], [0.0000, 0.0000, 3.6912]], "species": ["Ni", "Ni", "Np", "Fe"], "fractional_positions": [[0.0000, 0.0000, 0.5000], [0.0000, 0.5000, 0.0000], [0.5000, 0.0000, 0.0000], [0.5000, 0.5000, 0.5000]]}

***

Entry 4:
{"formula": "NpFe4Ni", "functional": "GGA-PBE", "state": "relaxed", "delta_e_f_ev_per_atom": 0.129, "lattice_angstrom": [[-1.4909, 3.6285, 2.9139], [-1.2437, -0.9397, 4.6314], [2.8590, 1.5293, 3.6561]], "species": ["Fe", "Fe", "Fe", "Fe", "Np", "Ni"], "fractional_positions": [[0.6262, 0.1213, 0.6262], [0.6262, 0.6262, 0.6262], [0.6262, 0.6262, 0.1213], [0.1213, 0.6262, 0.6262], [0.2500, 0.2500, 0.2500], [0.0000, 0.0000, 0.0000]]}

***

Entry 5:
{"formula": "NpFe2Ni9", "functional": "GGA-PBE", "state": "relaxed", "delta_e_f_ev_per_atom": 0.024, "lattice_angstrom": [[4.7429, 0.0000, 0.0000], [2.3714, 4.1074, 0.0000], [2.3714, 1.3691, 7.7542]], "species": ["Np", "Ni", "Ni", "Ni", "Ni", "Ni", "Ni", "Ni", "Ni", "Ni", "Fe", "Fe"], "fractional_positions": [[0.0000, 0.0000, 0.0000], [0.0823, 0.5901, 0.7375], [0.4099, 0.9177, 0.2625], [0.4099, 0.4099, 0.2625], [0.6660, 0.6660, 0.0021], [0.9177, 0.4099, 0.2625], [0.5901, 0.5901, 0.7375], [0.5000, 0.5000, 0.5000], [0.5901, 0.0823, 0.7375], [0.3340, 0.3340, 0.9979], [0.8518, 0.8518, 0.4446], [0.1482, 0.1482, 0.5554]]}

***

Entry 6:
{"formula": "Np2Fe2Ni15", "functional": "GGA-PBE", "state": "relaxed", "delta_e_f_ev_per_atom": -0.087, "lattice_angstrom": [[-2.4379, 1.9533, -5.4099], [-5.6916, -2.4556, 0.7755], [-2.7766, 5.1432, 2.2054]], "species": ["Ni", "Ni", "Ni", "Ni", "Ni", "Ni", "Ni", "Ni", "Ni", "Ni", "Ni", "Ni", "Ni", "Ni", "Ni", "Fe", "Fe", "Np", "Np"], "fractional_positions": [[0.3468, 0.8443, 0.3468], [0.0000, 0.0000, 0.5000], [0.1557, 0.6532, 0.6532], [0.0000, 0.5000, 0.0000], [0.7003, 0.2997, 0.0000], [0.7003, 0.0000, 0.2997], [0.6532, 0.1557, 0.6532], [0.3468, 0.3468, 0.8443], [0.5000, 0.0000, 0.0000], [0.0000, 0.7003, 0.2997], [0.0000, 0.2997, 0.7003], [0.8443, 0.3468, 0.3468], [0.2997, 0.7003, 0.0000], [0.2997, 0.0000, 0.7003], [0.6532, 0.6532, 0.1557], [0.9027, 0.9027, 0.9027], [0.0973, 0.0973, 0.0973], [0.3379, 0.3379, 0.3379], [0.6621, 0.6621, 0.6621]]}

***

Entry 7:
{"formula": "NpFeNi2", "functional": "GGA-PBE", "state": "relaxed", "relative_energy_mev_per_atom": 260, "delta_e_f_ev_per_atom": 0.218, "lattice_angstrom": [[-0.7907, -3.9530, 0.3731], [2.2773, -2.7136, -1.9597], [3.2664, -2.4436, 2.9976]], "species": ["Ni", "Ni", "Fe", "Np"], "fractional_positions": [[0.7060, 0.7060, 0.8820], [0.2940, 0.2940, 0.1180], [0.0000, 0.0000, 0.0000], [0.5000, 0.5000, 0.5000]]}

***

Entry 8:
{"formula": "NpFeNi4", "functional": "GGA-PBE", "state": "relaxed", "delta_e_f_ev_per_atom": -0.085, "lattice_angstrom": [[4.8305, 0.0000, 0.0000], [2.4152, 4.1833, 0.0000], [2.4152, 1.3944, 3.9440]], "species": ["Ni", "Ni", "Ni", "Ni", "Fe", "Np"], "fractional_positions": [[0.6258, 0.1227, 0.6258], [0.6258, 0.6258, 0.1227], [0.1227, 0.6258, 0.6258], [0.6258, 0.6258, 0.6258], [0.0000, 0.0000, 0.0000], [0.2500, 0.2500, 0.2500]]}